[1]
Compound: ScNiAsBr2
Source: Alexandria via LeMat-Bulk
Functional: GGA-PBE
Structure: optimized geometry

Unit cell a=5.119 b=5.119 c=5.480 alpha=90.00 beta=90.00 gamma=90.00
Sites, in units of the cell vectors:
1 Sc 0.000 0.000 0.000
2 Ni 0.500 0.500 0.500
3 As 0.000 0.000 0.500
4 Br 0.000 0.500 0.000
5 Br 0.500 0.000 0.000

Values from the calculation:
The value obtained for the formation energy from raw total energies is 0.055 eV per atom. Its space group is P4/mmm, No. 123. The density of states at the Fermi level is 5.27 states/eV per cell.

***

[2]
Compound: CaLa4Tc
Source: Alexandria via LeMat-Bulk
Functional: GGA-PBE
Structure: optimized geometry

Unit cell a=6.532 b=6.532 c=6.532 alpha=60.00 beta=60.00 gamma=60.00
Sites, in units of the cell vectors:
1 Ca 0.000 0.000 0.000
2 La 0.135 0.622 0.622
3 La 0.622 0.135 0.622
4 La 0.622 0.622 0.135
5 La 0.622 0.622 0.622
6 Tc 0.250 0.250 0.250

Values from the calculation:
The formation energy from the elements comes out at 0.7488 eV/atom. Its space group is F-43m, No. 216. The density of states at the Fermi level is 11.25 states/eV per cell.

***

Listing calculated volume for the structures above in their given order: 28.7, 32.8 Å³/atom.